No. 1
DFT (GGA-PBE) results for an optimized crystal structure of Al2SbRh.

Cell and atoms, written as CIF:
```
data_Al2SbRh
_cell_length_a 3.037
_cell_length_b 2.980
_cell_length_c 8.145
_cell_angle_alpha 89.97
_cell_angle_beta 90.00
_cell_angle_gamma 90.00
_symmetry_space_group_name_H-M 'P 1'
_symmetry_Int_Tables_number 1
_symmetry_space_group_name_Hall 'P 1'
loop_
_atom_site_label
_atom_site_fract_x
_atom_site_fract_y
_atom_site_fract_z
_atom_site_occupancy
Rh1 0.500 0.250 0.250 1
Al1 0.000 0.749 0.433 1
Al2 0.000 0.751 0.067 1
Sb1 0.500 0.750 0.750 1
```

Symmetry: Pmmm
Raw total energy, eV per formula unit: -20.8

=====

No. 2
DFT (GGA-PBE) results for an optimized crystal structure of Na2PuSb2Pb.

Cell and atoms, written as CIF:
```
data_Na2PuSb2Pb
_cell_length_a 5.332
_cell_length_b 6.785
_cell_length_c 9.474
_cell_angle_alpha 90.00
_cell_angle_beta 90.00
_cell_angle_gamma 90.00
_symmetry_space_group_name_H-M 'P 1'
_symmetry_Int_Tables_number 1
_symmetry_space_group_name_Hall 'P 1'
loop_
_atom_site_label
_atom_site_fract_x
_atom_site_fract_y
_atom_site_fract_z
_atom_site_occupancy
Pb1 0.500 0.221 0.672 1
Pu1 0.000 0.502 0.511 1
Na1 0.000 0.781 0.845 1
Sb1 0.000 0.272 0.823 1
Pu2 0.000 0.002 0.489 1
Pb2 0.500 0.721 0.328 1
Sb2 0.500 0.253 0.336 1
Na2 0.500 0.017 0.018 1
Sb3 0.500 0.753 0.664 1
Sb4 0.000 0.772 0.177 1
Na3 0.000 0.281 0.155 1
Na4 0.500 0.517 0.982 1
```

Symmetry: Pmc2_1
Raw total energy, eV per formula unit: -30.7

=====

No. 3
DFT (GGA-PBE) results for an optimized crystal structure of EuGdMgBi.

Cell and atoms, written as CIF:
```
data_EuGdMgBi
_cell_length_a 5.562
_cell_length_b 5.562
_cell_length_c 5.562
_cell_angle_alpha 60.00
_cell_angle_beta 60.00
_cell_angle_gamma 60.00
_symmetry_space_group_name_H-M 'P 1'
_symmetry_Int_Tables_number 1
_symmetry_space_group_name_Hall 'P 1'
loop_
_atom_site_label
_atom_site_fract_x
_atom_site_fract_y
_atom_site_fract_z
_atom_site_occupancy
Gd1 0.750 0.750 0.750 1
Eu1 0.250 0.250 0.250 1
Bi1 0.000 0.000 0.000 1
Mg1 0.500 0.500 0.500 1
```

Symmetry: F-43m
Energy relative to the elements, kJ/mol of atoms: -37.69

=====

No. 4
DFT (GGA-PBE) results for an optimized crystal structure of Ho3Tl.

Cell and atoms, written as CIF:
```
data_Ho3Tl
_cell_length_a 3.496
_cell_length_b 5.961
_cell_length_c 6.535
_cell_angle_alpha 117.13
_cell_angle_beta 105.51
_cell_angle_gamma 90.00
_symmetry_space_group_name_H-M 'P 1'
_symmetry_Int_Tables_number 1
_symmetry_space_group_name_Hall 'P 1'
loop_
_atom_site_label
_atom_site_fract_x
_atom_site_fract_y
_atom_site_fract_z
_atom_site_occupancy
Tl1 0.000 0.011 0.000 1
Ho1 0.729 0.072 0.459 1
Ho2 0.271 0.613 0.541 1
Ho3 0.500 0.471 0.000 1
```

Symmetry: Imm2
Energy relative to the elements, kJ/mol of atoms: -15.49

=====

No. 5
DFT (GGA-PBE) results for an optimized crystal structure of V2ReB6.

Cell and atoms, written as CIF:
```
data_V2ReB6
_cell_length_a 3.157
_cell_length_b 5.197
_cell_length_c 5.197
_cell_angle_alpha 120.00
_cell_angle_beta 90.00
_cell_angle_gamma 90.00
_symmetry_space_group_name_H-M 'P 1'
_symmetry_Int_Tables_number 1
_symmetry_space_group_name_Hall 'P 1'
loop_
_atom_site_label
_atom_site_fract_x
_atom_site_fract_y
_atom_site_fract_z
_atom_site_occupancy
B1 0.500 0.000 0.664 1
V1 0.000 0.667 0.333 1
B2 0.500 0.664 0.000 1
B3 0.500 0.336 0.336 1
V2 0.000 0.333 0.667 1
B4 0.500 0.336 0.000 1
B5 0.500 0.664 0.664 1
B6 0.500 0.000 0.336 1
Re1 0.000 0.000 0.000 1
```

Symmetry: P6/mmm
Energy relative to the elements, kJ/mol of atoms: -40.94

=====

No. 6
DFT (GGA-PBE) results for an optimized crystal structure of SrCo2.

Cell and atoms, written as CIF:
```
data_SrCo2
_cell_length_a 3.945
_cell_length_b 5.719
_cell_length_c 11.427
_cell_angle_alpha 90.00
_cell_angle_beta 90.00
_cell_angle_gamma 90.00
_symmetry_space_group_name_H-M 'P 1'
_symmetry_Int_Tables_number 1
_symmetry_space_group_name_Hall 'P 1'
loop_
_atom_site_label
_atom_site_fract_x
_atom_site_fract_y
_atom_site_fract_z
_atom_site_occupancy
Co1 0.750 0.399 0.961 1
Co2 0.750 0.125 0.366 1
Co3 0.750 0.899 0.539 1
Co4 0.250 0.875 0.634 1
Co5 0.250 0.101 0.461 1
Co6 0.250 0.375 0.866 1
Sr1 0.750 0.381 0.640 1
Co7 0.250 0.601 0.039 1
Sr2 0.250 0.619 0.360 1
Sr3 0.750 0.881 0.860 1
Co8 0.750 0.625 0.134 1
Sr4 0.250 0.119 0.140 1
```

Symmetry: Pnma
Energy relative to the elements, kJ/mol of atoms: 29.64

=====

No. 7
DFT (GGA-PBE) results for an optimized crystal structure of MgTcP2S.

Cell and atoms, written as CIF:
```
data_MgTcP2S
_cell_length_a 4.434
_cell_length_b 4.434
_cell_length_c 5.445
_cell_angle_alpha 90.00
_cell_angle_beta 90.00
_cell_angle_gamma 90.00
_symmetry_space_group_name_H-M 'P 1'
_symmetry_Int_Tables_number 1
_symmetry_space_group_name_Hall 'P 1'
loop_
_atom_site_label
_atom_site_fract_x
_atom_site_fract_y
_atom_site_fract_z
_atom_site_occupancy
P1 0.500 0.000 0.000 1
S1 0.000 0.000 0.500 1
P2 0.000 0.500 0.000 1
Tc1 0.000 0.000 0.000 1
Mg1 0.500 0.500 0.500 1
```

Symmetry: P4/mmm
Energy above the lowest structure with this stoichiometry, kJ/mol of atoms: 0.00

=====

No. 8
DFT (GGA-PBE) results for an optimized crystal structure of Tl2AgCl2.

Cell and atoms, written as CIF:
```
data_Tl2AgCl2
_cell_length_a 5.256
_cell_length_b 5.256
_cell_length_c 7.598
_cell_angle_alpha 69.77
_cell_angle_beta 69.77
_cell_angle_gamma 90.00
_symmetry_space_group_name_H-M 'P 1'
_symmetry_Int_Tables_number 1
_symmetry_space_group_name_Hall 'P 1'
loop_
_atom_site_label
_atom_site_fract_x
_atom_site_fract_y
_atom_site_fract_z
_atom_site_occupancy
Cl1 0.750 0.250 0.500 1
Tl1 0.362 0.362 0.275 1
Cl2 0.250 0.750 0.500 1
Ag1 0.000 0.000 0.000 1
Tl2 0.638 0.638 0.725 1
```

Symmetry: I4/mmm
Energy above the lowest structure with this stoichiometry, kJ/mol of atoms: 13.63